[1]
Material: DyMgBeHg
Method: DFT, PBE
State: optimized geometry

a = 4.8644 Å, b = 4.8644 Å, c = 4.8644 Å
α = 60.00°, β = 60.00°, γ = 60.00°
Closest atoms and distances in Å follow each position.
Fractional positions:
Dy  0.0000  0.0000  0.0000  4 Be 2.98, 4 Hg 2.98
Mg  0.5000  0.5000  0.5000  4 Hg 2.98, 4 Be 2.98
Hg  0.2500  0.2500  0.2500  4 Dy 2.98, 4 Mg 2.98
Be  0.7500  0.7500  0.7500  4 Mg 2.98, 4 Dy 2.98

Results
ρ: 8.1 Mg/m³
raw total energy: -2.67 eV/atom
size of the total moment: 0.0 μB/f.u.
symmetry: F-43m

[2]
Material: SmDyBeHg
Method: DFT, PBE
State: optimized geometry

a = 5.1490 Å, b = 5.1490 Å, c = 5.1490 Å
α = 60.00°, β = 60.00°, γ = 60.00°
Closest atoms and distances in Å follow each position.
Fractional positions:
Dy  0.7500  0.7500  0.7500  4 Be 3.15, 4 Hg 3.15
Hg  0.5000  0.5000  0.5000  4 Sm 3.15, 4 Dy 3.15
Sm  0.2500  0.2500  0.2500  4 Be 3.15, 4 Hg 3.15
Be  0.0000  0.0000  0.0000  4 Dy 3.15, 4 Sm 3.15

Results
ρ: 9.0 Mg/m³
raw total energy: -3.43 eV/atom
size of the total moment: 0.4 μB/f.u.
symmetry: F-43m